(1)
The following is a DFT calculation (PBE) of an optimized crystal structure of Ta3W.

Properties
magnetization = 0.001 μB/f.u.
final energy = -48.28 eV per formula unit
DFT formation energy = 0.060 eV per atom

Structure (CIF):
```
data_Ta3W
_cell_length_a 5.3628
_cell_length_b 5.3628
_cell_length_c 17.6574
_cell_angle_alpha 90.00
_cell_angle_beta 90.00
_cell_angle_gamma 120.00
_space_group_name_H-M_alt 'P 63/m m c'
_space_group_IT_number 194
_space_group_name_Hall '-P 6c 2c'
loop_
_atom_site_label
_atom_site_type_symbol
_atom_site_fract_x
_atom_site_fract_y
_atom_site_fract_z
_atom_site_occupancy
Ta1 Ta 0.0000 0.0000 0.0988 1
Ta2 Ta 0.0000 0.5000 0.0000 1
Ta3 Ta 0.3333 0.6667 0.1260 1
Ta4 Ta 0.3333 0.6667 0.6595 1
W1 W 0.1631 0.3263 0.2500 1
```

=====

(2)
The following is a DFT calculation (PBE) of an optimized crystal structure of LiTmGe.

Properties
magnetization = 0.003 μB/f.u.
final energy = -12.24 eV per formula unit

Structure (CIF):
```
data_LiTmGe
_cell_length_a 7.6582
_cell_length_b 7.6582
_cell_length_c 3.9116
_cell_angle_alpha 90.00
_cell_angle_beta 90.00
_cell_angle_gamma 120.00
_space_group_name_H-M_alt 'P -6 2 m'
_space_group_IT_number 189
_space_group_name_Hall 'P -6 -2'
loop_
_atom_site_label
_atom_site_type_symbol
_atom_site_fract_x
_atom_site_fract_y
_atom_site_fract_z
_atom_site_occupancy
Li1 Li 0.0000 0.6012 0.0000 1
Tm1 Tm 0.0000 0.2713 0.5000 1
Ge1 Ge 0.0000 0.0000 0.0000 1
Ge2 Ge 0.3333 0.6667 0.5000 1
```

=====

(3)
The following is a DFT calculation (PBE) of an optimized crystal structure of YBi2Ir.

Properties
magnetization = 0.009 μB/f.u.
final energy = -23.51 eV per formula unit

Structure (CIF):
```
data_YBi2Ir
_cell_length_a 7.336
_cell_length_b 7.336
_cell_length_c 7.336
_cell_angle_alpha 90.00
_cell_angle_beta 90.00
_cell_angle_gamma 90.00
_space_group_name_H-M_alt 'F -4 3 m'
_space_group_IT_number 216
_space_group_name_Hall 'F -4 2 3'
loop_
_atom_site_label
_atom_site_type_symbol
_atom_site_fract_x
_atom_site_fract_y
_atom_site_fract_z
_atom_site_occupancy
Y1 Y 0.000 0.000 0.000 1
Bi1 Bi 0.000 0.000 0.500 1
Bi2 Bi 0.250 0.250 0.250 1
Ir1 Ir 0.250 0.250 0.750 1
```

=====

(4)
The following is a DFT calculation (PBE) of an optimized crystal structure of LaHfNp.

Properties
magnetization = 4.286 μB/f.u.
final energy = -24.33 eV per formula unit
DFT formation energy = 1.107 eV per atom

Structure (CIF):
```
data_LaHfNp
_cell_length_a 7.176
_cell_length_b 7.176
_cell_length_c 7.176
_cell_angle_alpha 90.00
_cell_angle_beta 90.00
_cell_angle_gamma 90.00
_space_group_name_H-M_alt 'F -4 3 m'
_space_group_IT_number 216
_space_group_name_Hall 'F -4 2 3'
loop_
_atom_site_label
_atom_site_type_symbol
_atom_site_fract_x
_atom_site_fract_y
_atom_site_fract_z
_atom_site_occupancy
La1 La 0.000 0.000 0.000 1
Hf1 Hf 0.250 0.250 0.250 1
Np1 Np 0.000 0.000 0.500 1
```